## CdBi2Rh (PBE-GGA)

Data for CdBi2Rh after structural relaxation.

Summary:
- Space-group type: P2_1/m (11)
- Formation enthalpy at 0 K: -0.1094 eV per atom

a = 3.5788 Å, b = 7.2677 Å, c = 8.7848 Å
α = 90.00°, β = 90.00°, γ = 119.61°
Closest atoms and distances in Å follow each position.
Sites, in units of the cell vectors:
Bi: 0.5295 0.2796 0.4416  3 Rh 2.83-3.04
Cd: 0.9037 0.1549 0.7500  2 Rh 2.81
Bi: 0.5295 0.2796 0.0584  3 Rh 2.83-3.04
Rh: 0.2526 0.5024 0.2500  2 Cd 2.81, 6 Bi 2.83-3.04
Rh: 0.7474 0.4976 0.7500  2 Cd 2.81, 6 Bi 2.83-3.04
Cd: 0.0963 0.8451 0.2500  2 Rh 2.81
Bi: 0.4705 0.7204 0.9416  3 Rh 2.83-3.04
Bi: 0.4705 0.7204 0.5584  3 Rh 2.83-3.04

=====

## CdBi2Rh (PBE-GGA)

Data for CdBi2Rh after structural relaxation.

Summary:
- Space-group type: R-3m (166)
- Formation enthalpy at 0 K: 0.0224 eV per atom

a = 3.7322 Å, b = 3.7322 Å, c = 9.7079 Å
α = 78.92°, β = 78.92°, γ = 60.00°
Closest atoms and distances in Å follow each position.
Sites, in units of the cell vectors:
Cd: 0.0000 0.0000 0.0000  2 Bi 3.02
Rh: 0.5000 0.5000 0.5000  6 Bi 2.75
Bi: 0.1064 0.1064 0.6808  3 Rh 2.75, 1 Cd 3.02
Bi: 0.8936 0.8936 0.3192  3 Rh 2.75, 1 Cd 3.02

=====

## CdBiRh2 (PBE-GGA)

Data for CdBiRh2 after structural relaxation.

Summary:
- Space-group type: I-42d (122)
- Formation enthalpy at 0 K: 0.2582 eV per atom

a = 7.3075 Å, b = 7.3075 Å, c = 5.9866 Å
α = 52.39°, β = 52.39°, γ = 90.00°
Closest atoms and distances in Å follow each position.
Sites, in units of the cell vectors:
Rh: 0.8750 0.8840 0.7500  2 Bi 2.65, 2 Cd 2.74
Rh: 0.3750 0.3660 0.7500  2 Bi 2.65, 2 Cd 2.74
Cd: 0.2500 0.7500 0.5000  4 Rh 2.74, 2 Bi 3.02
Cd: 0.5000 0.5000 0.0000  4 Rh 2.74, 2 Bi 3.02
Rh: 0.1160 0.6250 0.2500  2 Bi 2.65, 2 Cd 2.74
Rh: 0.6340 0.1250 0.2500  2 Bi 2.65, 2 Cd 2.74
Bi: 0.0000 0.0000 0.0000  4 Rh 2.65
Bi: 0.7500 0.2500 0.5000  4 Rh 2.65

=====

## CdBiRh2 (PBE-GGA)

Data for CdBiRh2 after structural relaxation.

Summary:
- Space-group type: R3m (160)
- Formation enthalpy at 0 K: 0.1281 eV per atom

a = 4.1827 Å, b = 4.1827 Å, c = 5.9936 Å
α = 69.58°, β = 69.58°, γ = 60.00°
Closest atoms and distances in Å follow each position.
Sites, in units of the cell vectors:
Rh: 0.0753 0.0753 0.7740  3 Bi 2.67, 3 Cd 2.78
Cd: 0.4927 0.4927 0.5219  6 Rh 2.78-2.92, 1 Bi 2.96
Bi: 0.6727 0.6727 0.9819  6 Rh 2.67-2.75, 1 Cd 2.96
Rh: 0.2593 0.2593 0.2221  3 Bi 2.75, 3 Cd 2.92, 1 Rh 3.03

=====

## CdBi3Rh (PBE-GGA)

Data for CdBi3Rh after structural relaxation.

Summary:
- Space-group type: P2_1/m (11)
- Formation enthalpy at 0 K: -0.0126 eV per atom

a = 3.3720 Å, b = 7.6010 Å, c = 10.8492 Å
α = 90.00°, β = 90.00°, γ = 102.98°
Closest atoms and distances in Å follow each position.
Sites, in units of the cell vectors:
Cd: 0.9761 0.4434 0.7500  2 Rh 2.84-2.85, 2 Bi 3.17
Bi: 0.8814 0.2705 0.4673  2 Rh 2.90, 1 Cd 3.17
Rh: 0.3691 0.2471 0.2500  6 Bi 2.84-2.90, 2 Cd 2.84-2.85
Cd: 0.0239 0.5566 0.2500  2 Rh 2.84-2.85, 2 Bi 3.17
Bi: 0.2867 0.0619 0.7500  2 Rh 2.84
Bi: 0.7133 0.9381 0.2500  2 Rh 2.84
Bi: 0.8814 0.2705 0.0327  2 Rh 2.90, 1 Cd 3.17
Bi: 0.1186 0.7295 0.9673  2 Rh 2.90, 1 Cd 3.17
Bi: 0.1186 0.7295 0.5327  2 Rh 2.90, 1 Cd 3.17
Rh: 0.6309 0.7529 0.7500  6 Bi 2.84-2.90, 2 Cd 2.84-2.85

=====

## CdBiRh2 (PBE-GGA)

Data for CdBiRh2 after structural relaxation.

Summary:
- Space-group type: P4/mmm (123)
- Formation enthalpy at 0 K: -0.0553 eV per atom

a = 3.3967 Å, b = 3.3967 Å, c = 6.3559 Å
α = 90.00°, β = 90.00°, γ = 90.00°
Closest atoms and distances in Å follow each position.
Sites, in units of the cell vectors:
Bi: 0.5000 0.5000 0.0000  8 Rh 2.88, 2 Cd 3.18
Rh: 0.0000 0.0000 0.2513  4 Cd 2.88, 4 Bi 2.88, 2 Rh 3.16-3.20
Cd: 0.5000 0.5000 0.5000  8 Rh 2.88, 2 Bi 3.18
Rh: 0.0000 0.0000 0.7487  4 Cd 2.88, 4 Bi 2.88, 2 Rh 3.16-3.20

=====

Record-wise DOS at the Fermi energy values, in states/eV/f.u.: 2.129, 2.018, 2.822, 1.947, 2.619, 2.467
Record-wise calculated total energy values, in eV/atom: -4.117, -3.985, -4.617, -4.747, -3.994, -4.930